The following is a PBE-GGA calculation of a geometry-optimized Zn3HgCl structure, from the Alexandria database.

Lattice parameters (Å, degrees): 5.105 5.105 5.105 90.00 90.00 90.00
Sites, in units of the cell vectors:
Zn  0.000  0.000  0.500
Zn  0.000  0.500  0.000
Zn  0.500  0.000  0.000
Hg  0.000  0.000  0.000
Cl  0.500  0.500  0.500

## Properties
DOS(E_F) = 1.41 states/eV/f.u.
Crystal system = cubic
Calculated volume = 26.61 A^3/atom
Symmetry = No. 221
ΔE_f (raw) = 0.089 eV per atom
Calculated density = 5.39 g/cm3
Offset from the most stable computed form = 0.0 meV per atom